No. 1
Material: Sc3ZnAu
Method: DFT, GGA-PBEsol
State: optimized geometry

Lattice parameters (Å, degrees): 5.096 5.096 5.096 90.00 90.00 90.00
Site moments in Bohr magnetons follow the coordinates.
Atoms (fractional coordinates):
Sc1 0.000 0.000 0.500  0.13
Sc2 0.500 0.000 0.000  0.13
Sc3 0.000 0.500 0.000  0.13
Zn1 0.500 0.500 0.500  0.03
Au1 0.000 0.000 0.000  0.04

Properties
DFT total energy: -4.87 eV per atom
calculated formation energy: 0.194 eV/atom
volume: 26.461 Å³/atom

=====

No. 2
Material: NaSr3LaTi5O15
Method: DFT, GGA-PBEsol
State: optimized geometry

Lattice parameters (Å, degrees): 5.465 5.465 19.912 97.89 97.89 90.00
Atoms (fractional coordinates):
O1 0.227 0.227 0.900
O2 0.000 0.500 0.000
O3 0.172 0.727 0.899
O4 0.443 0.443 0.303
O5 0.500 0.000 0.000
O6 0.700 0.200 0.401
O7 0.101 0.601 0.201
O8 0.800 0.300 0.599
O9 0.673 0.673 0.900
O10 0.546 0.953 0.499
O11 0.727 0.172 0.899
O12 0.068 0.068 0.699
O13 0.327 0.773 0.100
O14 0.047 0.047 0.501
O15 0.200 0.700 0.401
O16 0.300 0.800 0.599
O17 0.601 0.101 0.201
O18 0.773 0.327 0.100
O19 0.557 0.140 0.697
O20 0.140 0.557 0.697
O21 0.899 0.399 0.799
O22 0.953 0.546 0.499
O23 0.860 0.860 0.303
O24 0.273 0.273 0.101
O25 0.370 0.932 0.301
O26 0.399 0.899 0.799
O27 0.932 0.370 0.301
O28 0.630 0.630 0.699
O29 0.828 0.828 0.101
O30 0.454 0.454 0.501
Na1 0.200 0.200 0.400
Na2 0.800 0.800 0.600
Ti1 0.651 0.151 0.302
Ti2 0.349 0.849 0.698
Ti3 0.550 0.050 0.101
Ti4 0.050 0.550 0.101
Ti5 0.250 0.750 0.500
Ti6 0.950 0.450 0.899
Ti7 0.450 0.950 0.899
Ti8 0.849 0.349 0.698
Ti9 0.750 0.250 0.500
Ti10 0.151 0.651 0.302
Sr1 0.500 0.500 0.000
Sr2 0.101 0.101 0.201
Sr3 0.899 0.899 0.799
Sr4 0.600 0.600 0.200
Sr5 0.400 0.400 0.800
Sr6 0.000 0.000 0.000
La1 0.300 0.300 0.599
La2 0.700 0.700 0.401

Properties
DFT total energy: -8.45 eV per atom
volume: 11.668 Å³/atom
formation energy (no corrections): -3145 meV/atom

=====

No. 3
Material: InCoPb3
Method: DFT, GGA-PBEsol
State: optimized geometry

Lattice parameters (Å, degrees): 5.054 5.054 5.054 90.00 90.00 90.00
Atoms (fractional coordinates):
In1 0.500 0.500 0.500
Pb1 0.500 0.000 0.000
Pb2 0.000 0.000 0.500
Pb3 0.000 0.500 0.000
Co1 0.000 0.000 0.000

Properties
DFT total energy: -4.33 eV per atom
calculated formation energy: 0.213 eV/atom
volume: 25.824 Å³/atom

=====

No. 4
Material: BaSbPb4
Method: DFT, GGA-PBEsol
State: optimized geometry

Lattice parameters (Å, degrees): 6.466 6.466 6.466 60.00 60.00 60.00
Atoms (fractional coordinates):
Pb1 0.376 0.376 0.873
Pb2 0.376 0.873 0.376
Pb3 0.873 0.376 0.376
Pb4 0.376 0.376 0.376
Ba1 0.000 0.000 0.000
Sb1 0.750 0.750 0.750

Properties
DFT total energy: -3.93 eV per atom
volume: 31.852 Å³/atom
formation energy (no corrections): -148 meV/atom

=====

No. 5
Material: YAlTe2N
Method: DFT, GGA-PBEsol
State: optimized geometry

Lattice parameters (Å, degrees): 3.593 5.521 5.521 90.00 90.00 90.00
Atoms (fractional coordinates):
Y1 0.500 0.500 0.500
Te1 0.000 0.000 0.500
Te2 0.000 0.500 0.000
Al1 0.000 0.000 0.000
N1 0.500 0.000 0.000

Properties
DFT total energy: -5.67 eV per atom
volume: 21.899 Å³/atom
formation energy (no corrections): -375 meV/atom

=====

No. 6
Material: Al2RuClF
Method: DFT, GGA-PBEsol
State: optimized geometry

Lattice parameters (Å, degrees): 4.076 4.726 4.726 90.00 90.00 90.00
Site moments in Bohr magnetons follow the coordinates.
Atoms (fractional coordinates):
Ru1 0.500 0.000 0.000  1.51
Cl1 0.500 0.500 0.500  0.10
Al1 0.000 0.500 0.000  0.02
Al2 0.000 0.000 0.500  0.02
F1 0.000 0.000 0.000  0.01

Properties
DFT total energy: -4.11 eV per atom
volume: 18.210 Å³/atom
formation energy (no corrections): 347 meV/atom

=====

No. 7
Material: NbV3H
Method: DFT, GGA-PBEsol
State: optimized geometry

Lattice parameters (Å, degrees): 3.914 3.914 3.914 90.00 90.00 90.00
Atoms (fractional coordinates):
V1 0.000 0.500 0.000
V2 0.000 0.000 0.500
V3 0.500 0.000 0.000
H1 0.000 0.000 0.000
Nb1 0.500 0.500 0.500

Properties
DFT total energy: -8.48 eV per atom
volume: 11.993 Å³/atom

=====

No. 8
Material: CaAu3Se
Method: DFT, GGA-PBEsol
State: optimized geometry

Lattice parameters (Å, degrees): 5.156 5.156 5.156 90.00 90.00 90.00
Atoms (fractional coordinates):
Au1 0.000 0.500 0.000
Au2 0.500 0.000 0.000
Au3 0.000 0.000 0.500
Ca1 0.000 0.000 0.000
Se1 0.500 0.500 0.500

Properties
DFT total energy: -2.56 eV per atom
volume: 27.409 Å³/atom
formation energy (no corrections): 993 meV/atom

=====

No. 9
Material: Li2VSiO4
Method: DFT, GGA-PBEsol
State: optimized geometry

Lattice parameters (Å, degrees): 4.603 5.169 6.708 90.00 90.00 90.00
Site moments in Bohr magnetons follow the coordinates.
Atoms (fractional coordinates):
O1 0.896 0.311 0.706  0.01
O2 0.896 0.311 0.294  0.01
O3 0.922 0.856 0.500  -0.01
O4 0.422 0.144 0.000  -0.01
O5 0.362 0.178 0.500  0.01
O6 0.862 0.822 0.000  0.01
O7 0.396 0.689 0.794  0.01
O8 0.396 0.689 0.206  0.01
Li1 0.980 0.676 0.250  0.00
Li2 0.980 0.676 0.750  0.00
Li3 0.480 0.324 0.250  0.00
Li4 0.480 0.324 0.750  0.00
V1 0.960 0.206 0.000  2.59
V2 0.460 0.794 0.500  2.59
Si1 0.503 0.830 0.000  0.02
Si2 0.003 0.170 0.500  0.02

Properties
DFT total energy: -7.23 eV per atom
volume: 9.975 Å³/atom
formation energy (no corrections): -2190 meV/atom

=====

No. 10
Material: Zn3Fe
Method: DFT, GGA-PBEsol
State: optimized geometry

Lattice parameters (Å, degrees): 2.594 2.594 7.679 90.00 90.00 90.00
Site moments in Bohr magnetons follow the coordinates.
Atoms (fractional coordinates):
Zn1 0.500 0.500 0.763  -0.02
Zn2 0.000 0.000 0.500  0.03
Zn3 0.500 0.500 0.237  -0.02
Fe1 0.000 0.000 0.000  2.37

Properties
DFT total energy: -3.41 eV per atom
calculated formation energy: 0.015 eV/atom
volume: 12.918 Å³/atom

=====

No. 11
Material: TlCr3S
Method: DFT, GGA-PBEsol
State: optimized geometry

Lattice parameters (Å, degrees): 5.017 5.017 5.017 90.00 90.00 90.00
Site moments in Bohr magnetons follow the coordinates.
Atoms (fractional coordinates):
Cr1 0.000 0.000 0.500  3.73
Cr2 0.500 0.000 0.000  3.73
Cr3 0.000 0.500 0.000  3.73
Tl1 0.000 0.000 0.000  -0.08
S1 0.500 0.500 0.500  -0.28

Properties
DFT total energy: -5.77 eV per atom
volume: 25.258 Å³/atom
formation energy (no corrections): 1781 meV/atom

=====

No. 12
Material: RbTaGeS5
Method: DFT, GGA-PBEsol
State: optimized geometry

Lattice parameters (Å, degrees): 6.887 6.992 9.122 69.99 78.08 74.91
Atoms (fractional coordinates):
S1 0.931 0.257 0.984
S2 0.074 0.382 0.357
S3 0.926 0.618 0.643
S4 0.069 0.743 0.016
S5 0.218 0.887 0.294
S6 0.315 0.124 0.708
S7 0.434 0.234 0.034
S8 0.566 0.766 0.966
S9 0.782 0.113 0.706
S10 0.685 0.876 0.292
Ge1 0.023 0.292 0.624
Ge2 0.977 0.708 0.376
Rb1 0.595 0.371 0.305
Rb2 0.405 0.629 0.695
Ta1 0.756 0.985 0.996
Ta2 0.244 0.015 0.004

Properties
DFT total energy: -5.92 eV per atom
volume: 24.695 Å³/atom
formation energy (no corrections): -861 meV/atom

=====

No. 13
Material: Ti3RhO
Method: DFT, GGA-PBEsol
State: optimized geometry

Lattice parameters (Å, degrees): 4.630 4.630 4.630 90.00 90.00 90.00
Site moments in Bohr magnetons follow the coordinates.
Atoms (fractional coordinates):
Ti1 0.000 0.500 0.000  0.46
Ti2 0.000 0.000 0.500  0.46
Ti3 0.500 0.000 0.000  0.46
O1 0.500 0.500 0.500  0.06
Rh1 0.000 0.000 0.000  -0.07

Properties
DFT total energy: -6.96 eV per atom
volume: 19.849 Å³/atom
formation energy (no corrections): 711 meV/atom